No. 1
An optimized crystal structure of Tb15Th2Sc2. Source: the Alexandria database, functional PBE.

Summary:
total energy	-90.22	eV/cell
total magnetic moment	0.0	μB/f.u.
formation energy	0.35	eV/atom
space-group type	No. 166

Unit cell a=8.715 b=8.715 c=8.715 alpha=78.00 beta=78.00 gamma=78.00
Sites, in units of the cell vectors:
Tb: 0.000 0.000 0.500
Tb: 0.000 0.302 0.698
Tb: 0.000 0.500 0.000
Tb: 0.000 0.698 0.302
Tb: 0.148 0.627 0.627
Tb: 0.302 0.000 0.698
Tb: 0.302 0.698 0.000
Tb: 0.373 0.373 0.852
Tb: 0.373 0.852 0.373
Tb: 0.500 0.000 0.000
Tb: 0.627 0.148 0.627
Tb: 0.627 0.627 0.148
Tb: 0.698 0.000 0.302
Tb: 0.698 0.302 0.000
Tb: 0.852 0.373 0.373
Th: 0.088 0.088 0.088
Th: 0.912 0.912 0.912
Sc: 0.306 0.306 0.306
Sc: 0.694 0.694 0.694

---

No. 2
An optimized crystal structure of Tb3ThSc5. Source: the Alexandria database, functional PBE.

Summary:
total energy	-52.29	eV/cell
total magnetic moment	0.0	μB/f.u.
formation energy	0.08	eV/atom
space-group type	No. 189

Unit cell a=9.323 b=9.323 c=3.352 alpha=90.00 beta=90.00 gamma=120.00
Sites, in units of the cell vectors:
Tb: 0.000 0.365 0.000
Tb: 0.365 0.000 0.000
Tb: 0.635 0.635 0.000
Th: 0.000 0.000 0.000
Sc: 0.000 0.686 0.500
Sc: 0.314 0.314 0.500
Sc: 0.333 0.667 0.500
Sc: 0.667 0.333 0.500
Sc: 0.686 0.000 0.500

---

No. 3
An optimized crystal structure of Tb5Th2Sc4. Source: the Alexandria database, functional PBE.

Summary:
total energy	-61.71	eV/cell
total magnetic moment	0.0	μB/f.u.
formation energy	0.15	eV/atom
space-group type	No. 10
polymorph energy (0 for the lowest one)	0.00	eV per formula unit

Unit cell a=8.408 b=3.441 c=11.478 alpha=90.00 beta=96.66 gamma=90.00
Sites, in units of the cell vectors:
Tb: 0.000 0.000 0.000
Tb: 0.048 0.000 0.297
Tb: 0.339 0.000 0.864
Tb: 0.661 0.000 0.136
Tb: 0.952 0.000 0.703
Th: 0.462 0.000 0.362
Th: 0.538 0.000 0.638
Sc: 0.196 0.500 0.539
Sc: 0.313 0.500 0.123
Sc: 0.687 0.500 0.877
Sc: 0.804 0.500 0.461

---

No. 4
An optimized crystal structure of TbThSc4. Source: the Alexandria database, functional PBE.

Summary:
total energy	-74.31	eV/cell
total magnetic moment	0.0	μB/f.u.
formation energy	0.04	eV/atom
space-group type	No. 63
polymorph energy (0 for the lowest one)	0.02	eV per formula unit

Unit cell a=9.787 b=9.787 c=5.313 alpha=90.00 beta=90.00 gamma=140.71
Sites, in units of the cell vectors:
Tb: 0.125 0.875 0.750
Tb: 0.875 0.125 0.250
Th: 0.374 0.626 0.250
Th: 0.626 0.374 0.750
Sc: 0.041 0.458 0.750
Sc: 0.209 0.292 0.750
Sc: 0.292 0.209 0.250
Sc: 0.458 0.041 0.250
Sc: 0.542 0.959 0.750
Sc: 0.708 0.791 0.750
Sc: 0.791 0.708 0.250
Sc: 0.959 0.542 0.250

---

No. 5
An optimized crystal structure of TbThSc. Source: the Alexandria database, functional PBE.

Summary:
total energy	-17.85	eV/cell
total magnetic moment	0.0	μB/f.u.
formation energy	0.18	eV/atom
space-group type	No. 156
polymorph energy (0 for the lowest one)	0.41	eV per formula unit

Unit cell a=3.413 b=3.413 c=8.874 alpha=90.00 beta=90.00 gamma=120.00
Sites, in units of the cell vectors:
Tb: 0.000 0.000 0.000
Th: 0.667 0.333 0.334
Sc: 0.000 0.000 0.640

---

No. 6
An optimized crystal structure of Tb2ThSc. Source: the Alexandria database, functional PBE.

Summary:
total energy	-22.78	eV/cell
total magnetic moment	0.0	μB/f.u.
formation energy	0.06	eV/atom
space-group type	No. 166
polymorph energy (0 for the lowest one)	0.09	eV per formula unit

Unit cell a=11.488 b=11.488 c=11.488 alpha=17.61 beta=17.61 gamma=17.61
Sites, in units of the cell vectors:
Tb: 0.248 0.248 0.248
Tb: 0.752 0.752 0.752
Th: 0.000 0.000 0.000
Sc: 0.500 0.500 0.500

---

No. 7
An optimized crystal structure of TbTh2Sc6. Source: the Alexandria database, functional PBE.

Summary:
total energy	-57.19	eV/cell
total magnetic moment	0.0	μB/f.u.
formation energy	0.03	eV/atom
space-group type	No. 191
polymorph energy (0 for the lowest one)	0.00	eV per formula unit

Unit cell a=9.190 b=9.190 c=3.326 alpha=90.00 beta=90.00 gamma=120.00
Sites, in units of the cell vectors:
Tb: 0.000 0.000 0.000
Th: 0.333 0.667 0.000
Th: 0.667 0.333 0.000
Sc: 0.000 0.334 0.500
Sc: 0.000 0.666 0.500
Sc: 0.334 0.000 0.500
Sc: 0.334 0.334 0.500
Sc: 0.666 0.000 0.500
Sc: 0.666 0.666 0.500

---

No. 8
An optimized crystal structure of Tb3ThSc4. Source: the Alexandria database, functional PBE.

Summary:
total energy	-92.50	eV/cell
total magnetic moment	0.0	μB/f.u.
formation energy	0.05	eV/atom
space-group type	No. 31
polymorph energy (0 for the lowest one)	0.00	eV per formula unit

Unit cell a=10.942 b=6.922 c=5.991 alpha=90.00 beta=90.00 gamma=90.00
Sites, in units of the cell vectors:
Tb: 0.000 0.131 0.000
Tb: 0.248 0.133 0.349
Tb: 0.252 0.867 0.849
Tb: 0.500 0.869 0.500
Tb: 0.748 0.867 0.849
Tb: 0.752 0.133 0.349
Th: 0.000 0.863 0.506
Th: 0.500 0.137 0.006
Sc: 0.000 0.386 0.511
Sc: 0.000 0.618 0.017
Sc: 0.250 0.382 0.845
Sc: 0.250 0.618 0.345
Sc: 0.500 0.382 0.517
Sc: 0.500 0.614 0.011
Sc: 0.750 0.382 0.845
Sc: 0.750 0.618 0.345

---

No. 9
An optimized crystal structure of Tb4ThSc2. Source: the Alexandria database, functional PBE.

Summary:
total energy	-74.68	eV/cell
total magnetic moment	0.0	μB/f.u.
formation energy	0.18	eV/atom
space-group type	No. 67
polymorph energy (0 for the lowest one)	0.10	eV per formula unit

Unit cell a=11.103 b=11.103 c=3.492 alpha=90.00 beta=90.00 gamma=90.04
Sites, in units of the cell vectors:
Tb: 0.031 0.250 0.001
Tb: 0.250 0.031 0.999
Tb: 0.250 0.469 0.999
Tb: 0.469 0.250 0.001
Tb: 0.531 0.750 0.999
Tb: 0.750 0.531 0.001
Tb: 0.750 0.969 0.001
Tb: 0.969 0.750 0.999
Th: 0.250 0.750 0.496
Th: 0.750 0.250 0.504
Sc: 0.000 0.000 0.500
Sc: 0.000 0.500 0.500
Sc: 0.500 0.000 0.500
Sc: 0.500 0.500 0.500

---

No. 10
An optimized crystal structure of TbTh2Sc6. Source: the Alexandria database, functional PBE.

Summary:
total energy	-56.62	eV/cell
total magnetic moment	0.0	μB/f.u.
formation energy	0.09	eV/atom
space-group type	No. 187
polymorph energy (0 for the lowest one)	0.57	eV per formula unit

Unit cell a=3.388 b=3.388 c=24.682 alpha=90.00 beta=90.00 gamma=120.00
Sites, in units of the cell vectors:
Tb: 0.000 0.000 0.000
Th: 0.333 0.667 0.329
Th: 0.333 0.667 0.671
Sc: 0.000 0.000 0.214
Sc: 0.000 0.000 0.439
Sc: 0.000 0.000 0.561
Sc: 0.000 0.000 0.786
Sc: 0.333 0.667 0.112
Sc: 0.333 0.667 0.888

---

No. 11
An optimized crystal structure of TbTh5Sc4. Source: the Alexandria database, functional PBE.

Summary:
total energy	-66.72	eV/cell
total magnetic moment	0.0	μB/f.u.
formation energy	0.03	eV/atom
space-group type	No. 123

Unit cell a=3.477 b=3.477 c=24.128 alpha=90.00 beta=90.00 gamma=90.00
Sites, in units of the cell vectors:
Tb: 0.000 0.000 0.000
Th: 0.500 0.500 0.108
Th: 0.500 0.500 0.304
Th: 0.500 0.500 0.500
Th: 0.500 0.500 0.696
Th: 0.500 0.500 0.892
Sc: 0.000 0.000 0.206
Sc: 0.000 0.000 0.402
Sc: 0.000 0.000 0.598
Sc: 0.000 0.000 0.794

---

No. 12
An optimized crystal structure of Tb8Th2Sc. Source: the Alexandria database, functional PBE.

Summary:
total energy	-55.91	eV/cell
total magnetic moment	0.0	μB/f.u.
formation energy	0.21	eV/atom
space-group type	No. 12
polymorph energy (0 for the lowest one)	0.00	eV per formula unit

Unit cell a=9.050 b=9.050 c=5.916 alpha=104.53 beta=104.53 gamma=121.96
Sites, in units of the cell vectors:
Tb: 0.103 0.327 0.665
Tb: 0.207 0.793 0.000
Tb: 0.327 0.103 0.665
Tb: 0.408 0.408 0.204
Tb: 0.592 0.592 0.796
Tb: 0.673 0.897 0.335
Tb: 0.793 0.207 0.000
Tb: 0.897 0.673 0.335
Th: 0.304 0.696 0.500
Th: 0.696 0.304 0.500
Sc: 0.000 0.000 0.000